# 1
! CeThAs | Alexandria | PBE-GGA | optimized geometry; values from VASP
! crystal system = trigonal
! space-group type = P3m1 (156)
! raw total energy = -6.649 eV/atom
! ΔH_f (0 K) = -0.6478 eV/atom
&SYSTEM
  ibrav = 0, nat = 3, ntyp = 3
/
ATOMIC_SPECIES
Ce 140.12 Ce.upf
Th 232.04 Th.upf
As 74.92 As.upf
CELL_PARAMETERS angstrom
3.971 0.000 0.000
-1.985 3.439 0.000
0.000 0.000 6.724
ATOMIC_POSITIONS crystal
Ce 0.000 0.000 0.000
Th 0.667 0.333 0.453
As 0.333 0.667 0.731


# 2
! Ce4ThAs6 | Alexandria | PBE-GGA | optimized geometry; values from VASP
! crystal system = trigonal
! space-group type = R-3c (167)
! raw total energy = -6.521 eV/atom
! ΔH_f (0 K) = -1.1524 eV/atom
&SYSTEM
  ibrav = 0, nat = 22, ntyp = 3
/
ATOMIC_SPECIES
Ce 140.12 Ce.upf
Th 232.04 Th.upf
As 74.92 As.upf
CELL_PARAMETERS angstrom
5.846 3.375 4.873
-5.846 3.375 4.873
0.000 -6.751 4.873
ATOMIC_POSITIONS crystal
Ce 0.134 0.750 0.366
Ce 0.250 0.250 0.250
Ce 0.250 0.634 0.866
Ce 0.366 0.134 0.750
Ce 0.634 0.866 0.250
Ce 0.750 0.366 0.134
Ce 0.750 0.750 0.750
Ce 0.866 0.250 0.634
Th 0.000 0.000 0.000
Th 0.500 0.500 0.500
As 0.067 0.914 0.671
As 0.086 0.329 0.933
As 0.171 0.414 0.567
As 0.329 0.933 0.086
As 0.414 0.567 0.171
As 0.433 0.829 0.586
As 0.567 0.171 0.414
As 0.586 0.433 0.829
As 0.671 0.067 0.914
As 0.829 0.586 0.433
As 0.914 0.671 0.067
As 0.933 0.086 0.329


# 3
! Ce2Tm3ThAs6 | Alexandria | PBE-GGA | optimized geometry; values from VASP
! crystal system = monoclinic
! space-group type = C2/m (12)
! raw total energy = -6.513 eV/atom
! ΔH_f (0 K) = -1.4628 eV/atom
&SYSTEM
  ibrav = 0, nat = 12, ntyp = 4
/
ATOMIC_SPECIES
Ce 140.12 Ce.upf
Tm 168.93 Tm.upf
Th 232.04 Th.upf
As 74.92 As.upf
CELL_PARAMETERS angstrom
9.032 -2.078 0.000
9.032 2.078 0.000
-1.856 0.000 8.074
ATOMIC_POSITIONS crystal
Ce 0.167 0.167 0.335
Ce 0.833 0.833 0.665
Tm 0.167 0.167 0.833
Tm 0.500 0.500 0.500
Tm 0.833 0.833 0.167
Th 0.500 0.500 0.000
As 0.002 0.002 0.743
As 0.331 0.331 0.922
As 0.336 0.336 0.412
As 0.664 0.664 0.588
As 0.669 0.669 0.078
As 0.998 0.998 0.257


# 4
! Ce2TmTh3As6 | Alexandria | PBE-GGA | optimized geometry; values from VASP
! crystal system = monoclinic
! space-group type = C2/m (12)
! raw total energy = -6.971 eV/atom
! ΔH_f (0 K) = -1.4298 eV/atom
&SYSTEM
  ibrav = 0, nat = 12, ntyp = 4
/
ATOMIC_SPECIES
Ce 140.12 Ce.upf
Tm 168.93 Tm.upf
Th 232.04 Th.upf
As 74.92 As.upf
CELL_PARAMETERS angstrom
9.176 -2.108 0.000
9.176 2.108 0.000
-1.916 0.000 8.199
ATOMIC_POSITIONS crystal
Ce 0.166 0.166 0.332
Ce 0.834 0.834 0.668
Tm 0.500 0.500 0.000
Th 0.167 0.167 0.834
Th 0.500 0.500 0.500
Th 0.833 0.833 0.166
As 0.000 0.000 0.242
As 0.000 0.000 0.758
As 0.333 0.333 0.418
As 0.337 0.337 0.916
As 0.663 0.663 0.084
As 0.667 0.667 0.582


# 5
! CeTm2ThAs4 | Alexandria | PBE-GGA | optimized geometry; values from VASP
! crystal system = monoclinic
! space-group type = P2/m (10)
! raw total energy = -6.575 eV/atom
! ΔH_f (0 K) = -1.4632 eV/atom
&SYSTEM
  ibrav = 0, nat = 8, ntyp = 4
/
ATOMIC_SPECIES
Ce 140.12 Ce.upf
Tm 168.93 Tm.upf
Th 232.04 Th.upf
As 74.92 As.upf
CELL_PARAMETERS angstrom
7.166 0.000 0.000
0.000 4.163 0.000
-2.417 0.000 6.790
ATOMIC_POSITIONS crystal
Ce 0.000 0.000 0.000
Tm 0.500 0.000 0.500
Tm 0.500 0.500 0.000
Th 0.000 0.500 0.500
As 0.260 0.500 0.253
As 0.261 0.000 0.755
As 0.739 0.000 0.245
As 0.740 0.500 0.747


# 6
! Ce2TmThAs4 | Alexandria | PBE-GGA | optimized geometry; values from VASP
! crystal system = monoclinic
! space-group type = P2/m (10)
! raw total energy = -6.736 eV/atom
! ΔH_f (0 K) = -1.4418 eV/atom
&SYSTEM
  ibrav = 0, nat = 8, ntyp = 4
/
ATOMIC_SPECIES
Ce 140.12 Ce.upf
Tm 168.93 Tm.upf
Th 232.04 Th.upf
As 74.92 As.upf
CELL_PARAMETERS angstrom
7.250 0.000 0.000
0.000 4.199 0.000
-2.428 0.000 6.868
ATOMIC_POSITIONS crystal
Ce 0.000 0.000 0.000
Ce 0.500 0.500 0.000
Tm 0.000 0.500 0.500
Th 0.500 0.000 0.500
As 0.243 0.000 0.744
As 0.244 0.500 0.252
As 0.756 0.500 0.748
As 0.757 0.000 0.256


# 7
! CeTh2UAs4 | Alexandria | PBE-GGA | optimized geometry; values from VASP
! crystal system = tetragonal
! space-group type = I-4m2 (119)
! raw total energy = -7.564 eV/atom
! ΔH_f (0 K) = -1.2318 eV/atom
&SYSTEM
  ibrav = 0, nat = 8, ntyp = 4
/
ATOMIC_SPECIES
Ce 140.12 Ce.upf
Th 232.04 Th.upf
U 238.03 U.upf
As 74.92 As.upf
CELL_PARAMETERS angstrom
-2.977 2.977 5.951
2.977 -2.977 5.951
2.977 2.977 -5.951
ATOMIC_POSITIONS crystal
Ce 0.000 0.000 0.000
Th 0.500 0.500 0.000
Th 0.750 0.250 0.500
U 0.250 0.750 0.500
As 0.005 0.505 0.500
As 0.249 0.249 0.000
As 0.495 0.995 0.500
As 0.751 0.751 0.000


# 8
! Ce2Th3UAs6 | Alexandria | PBE-GGA | optimized geometry; values from VASP
! crystal system = monoclinic
! space-group type = C2/m (12)
! raw total energy = -7.409 eV/atom
! ΔH_f (0 K) = -1.2994 eV/atom
&SYSTEM
  ibrav = 0, nat = 12, ntyp = 4
/
ATOMIC_SPECIES
Ce 140.12 Ce.upf
Th 232.04 Th.upf
U 238.03 U.upf
As 74.92 As.upf
CELL_PARAMETERS angstrom
9.198 -2.103 0.000
9.198 2.103 0.000
-1.974 0.000 8.225
ATOMIC_POSITIONS crystal
Ce 0.166 0.166 0.332
Ce 0.834 0.834 0.668
Th 0.168 0.168 0.834
Th 0.500 0.500 0.500
Th 0.832 0.832 0.166
U 0.500 0.500 0.000
As 0.000 0.000 0.243
As 0.000 0.000 0.757
As 0.332 0.332 0.419
As 0.337 0.337 0.917
As 0.663 0.663 0.083
As 0.668 0.668 0.581


# 9
! CeThU2As4 | Alexandria | PBE-GGA | optimized geometry; values from VASP
! crystal system = monoclinic
! space-group type = P2/m (10)
! raw total energy = -7.881 eV/atom
! ΔH_f (0 K) = -1.0651 eV/atom
&SYSTEM
  ibrav = 0, nat = 8, ntyp = 4
/
ATOMIC_SPECIES
Ce 140.12 Ce.upf
Th 232.04 Th.upf
U 238.03 U.upf
As 74.92 As.upf
CELL_PARAMETERS angstrom
7.155 0.000 0.000
0.000 4.130 0.000
-2.384 0.000 6.918
ATOMIC_POSITIONS crystal
Ce 0.000 0.000 0.000
Th 0.500 0.500 0.000
U 0.000 0.500 0.500
U 0.500 0.000 0.500
As 0.245 0.000 0.740
As 0.252 0.500 0.260
As 0.748 0.500 0.740
As 0.755 0.000 0.260


# 10
! Ce2ThUAs4 | Alexandria | PBE-GGA | optimized geometry; values from VASP
! crystal system = monoclinic
! space-group type = P2/m (10)
! raw total energy = -7.388 eV/atom
! ΔH_f (0 K) = -1.2416 eV/atom
&SYSTEM
  ibrav = 0, nat = 8, ntyp = 4
/
ATOMIC_SPECIES
Ce 140.12 Ce.upf
Th 232.04 Th.upf
U 238.03 U.upf
As 74.92 As.upf
CELL_PARAMETERS angstrom
7.269 0.000 0.000
0.000 4.187 0.000
-2.411 0.000 6.891
ATOMIC_POSITIONS crystal
Ce 0.000 0.000 0.000
Ce 0.000 0.500 0.500
Th 0.500 0.000 0.500
U 0.500 0.500 0.000
As 0.251 0.500 0.245
As 0.255 0.000 0.757
As 0.745 0.000 0.243
As 0.749 0.500 0.755


# 11
! Ce3Y2ThAs6 | Alexandria | PBE-GGA | optimized geometry; values from VASP
! crystal system = monoclinic
! space-group type = C2/m (12)
! raw total energy = -6.975 eV/atom
! ΔH_f (0 K) = -1.4716 eV/atom
&SYSTEM
  ibrav = 0, nat = 12, ntyp = 4
/
ATOMIC_SPECIES
Ce 140.12 Ce.upf
Y 88.91 Y.upf
Th 232.04 Th.upf
As 74.92 As.upf
CELL_PARAMETERS angstrom
9.154 -2.100 0.000
9.154 2.100 0.000
-1.946 0.000 8.169
ATOMIC_POSITIONS crystal
Ce 0.000 0.000 0.000
Ce 0.333 0.333 0.669
Ce 0.667 0.667 0.331
Y 0.332 0.332 0.165
Y 0.668 0.668 0.835
Th 0.000 0.000 0.500
As 0.167 0.167 0.081
As 0.167 0.167 0.587
As 0.498 0.498 0.247
As 0.502 0.502 0.753
As 0.833 0.833 0.413
As 0.833 0.833 0.919


# 12
! Ce2YTh3As6 | Alexandria | PBE-GGA | optimized geometry; values from VASP
! crystal system = monoclinic
! space-group type = C2/m (12)
! raw total energy = -7.152 eV/atom
! ΔH_f (0 K) = -1.4443 eV/atom
&SYSTEM
  ibrav = 0, nat = 12, ntyp = 4
/
ATOMIC_SPECIES
Ce 140.12 Ce.upf
Y 88.91 Y.upf
Th 232.04 Th.upf
As 74.92 As.upf
CELL_PARAMETERS angstrom
9.200 -2.113 0.000
9.200 2.113 0.000
-1.923 0.000 8.220
ATOMIC_POSITIONS crystal
Ce 0.166 0.166 0.332
Ce 0.834 0.834 0.668
Y 0.500 0.500 0.000
Th 0.167 0.167 0.834
Th 0.500 0.500 0.500
Th 0.833 0.833 0.166
As 0.000 0.000 0.246
As 0.000 0.000 0.754
As 0.333 0.333 0.418
As 0.335 0.335 0.916
As 0.665 0.665 0.084
As 0.667 0.667 0.582